Entry 1:
First-principles (GGA-PBE) data for a geometry-optimized HgOs3N structure, as listed in Alexandria.

Properties
As for the space group: Pm-3m, No. 221. The energy above the most stable polymorph in this dataset comes out at 3511 meV/atom.

Lattice parameters (Å, degrees): 5.000 5.000 5.000 90.00 90.00 90.00
Last column: magnetic moment on the atom in μB.
Sites, in units of the cell vectors:
Os  0.000  0.000  0.500  2.85
Os  0.000  0.500  0.000  2.46
Os  0.500  0.000  0.000  1.92
Hg  0.000  0.000  0.000  0.07
N  0.500  0.500  0.500  -0.03

***

Entry 2:
First-principles (GGA-PBE) data for a geometry-optimized Ca2PbAu3 structure, as listed in Alexandria.

Properties
Its formation enthalpy at 0 K is -3.8 eV/f.u. As for the space group: P-3m1, No. 164. The energy above the most stable polymorph in this dataset comes out at 0 meV/atom.

Lattice parameters (Å, degrees): 5.106 5.106 12.618 90.00 90.00 120.00
Sites, in units of the cell vectors:
Ca  0.333  0.667  0.177
Ca  0.000  0.000  0.000
Ca  0.667  0.333  0.823
Ca  0.000  0.000  0.500
Au  0.000  0.000  0.754
Au  0.333  0.667  0.931
Au  0.000  0.000  0.246
Au  0.667  0.333  0.069
Au  0.333  0.667  0.420
Au  0.667  0.333  0.580
Pb  0.667  0.333  0.334
Pb  0.333  0.667  0.666

***

Entry 3:
First-principles (GGA-PBE) data for a geometry-optimized Ac6PdRh2Au structure, as listed in Alexandria.

Properties
Its formation enthalpy at 0 K is -6.1 eV/f.u. As for the space group: P1, No. 1.

Lattice parameters (Å, degrees): 7.697 7.694 8.259 62.25 62.26 60.06
Sites, in units of the cell vectors:
Ac  0.245  0.901  0.244
Ac  0.386  0.740  0.748
Ac  0.611  0.244  0.244
Ac  0.901  0.610  0.244
Ac  0.739  0.126  0.748
Ac  0.126  0.387  0.748
Au  0.818  0.818  0.546
Rh  0.509  0.509  0.474
Rh  0.005  0.005  0.984
Pd  0.321  0.321  0.036

***

Ρ / g cm⁻³: 10.43 10.24 8.69